# 1
Compound: Na2TaCuO4
Source: the Alexandria database
Functional: GGA-PBE
Structure: optimized geometry

Values from the calculation:
Energy relative to the elements, uncorrected in eV per formula unit: -15.3
E_tot in eV/atom: -6.720

POSCAR file:
```
Na2TaCuO4
1.0
5.1171 0.0000 0.0000
0.0000 5.1171 0.0000
0.0000 0.0000 9.1313
Na Ta Cu O
4 2 2 8
Direct
0.0000 0.0000 0.0000 Na
0.0000 0.5000 0.2500 Na
0.5000 0.0000 0.7500 Na
0.5000 0.5000 0.5000 Na
0.0000 0.0000 0.5000 Ta
0.5000 0.5000 0.0000 Ta
0.0000 0.5000 0.7500 Cu
0.5000 0.0000 0.2500 Cu
0.1966 0.7707 0.6173 O
0.2293 0.1966 0.3827 O
0.2707 0.3034 0.8827 O
0.3034 0.7293 0.1173 O
0.6966 0.2707 0.1173 O
0.7293 0.6966 0.8827 O
0.7707 0.8034 0.3827 O
0.8034 0.2293 0.6173 O
```

***

# 2
Compound: Rb3TiF8
Source: the Alexandria database
Functional: GGA-PBE
Structure: optimized geometry

Values from the calculation:
Energy relative to the elements, uncorrected in eV per formula unit: -33.5
ΔE to the lowest computed polymorph in eV/atom: 0.000
E_tot in eV/atom: -4.943

POSCAR file:
```
Rb3TiF8
1.0
-3.3877 3.3877 4.6387
3.3877 -3.3877 4.6387
3.3877 3.3877 -4.6387
Rb Ti F
3 1 8
Direct
0.0000 0.0000 0.0000 Rb
0.2500 0.7500 0.5000 Rb
0.7500 0.2500 0.5000 Rb
0.5000 0.5000 0.0000 Ti
0.1948 0.4294 0.0000 F
0.2502 0.2502 0.6018 F
0.3516 0.7498 0.0000 F
0.4294 0.1948 0.0000 F
0.5706 0.5706 0.7653 F
0.6484 0.6484 0.3982 F
0.7498 0.3516 0.0000 F
0.8052 0.8052 0.2347 F
```

***

# 3
Compound: SbTe2BrN
Source: the Alexandria database
Functional: GGA-PBE
Structure: optimized geometry

Values from the calculation:
Energy relative to the elements, uncorrected in eV per formula unit: 3.7
ΔE to the lowest computed polymorph in eV/atom: 0.000
E_tot in eV/atom: -3.349

POSCAR file:
```
SbTe2BrN
1.0
4.7586 0.0000 0.0000
0.0000 4.7586 0.0000
0.0000 0.0000 5.1775
Sb Te Br N
1 2 1 1
Direct
0.0000 0.0000 0.0000 Sb
0.0000 0.5000 0.5000 Te
0.5000 0.0000 0.5000 Te
0.5000 0.5000 0.0000 Br
0.0000 0.0000 0.5000 N
```

***

# 4
Compound: AcTl2SbO8
Source: the Alexandria database
Functional: GGA-PBE
Structure: optimized geometry

Values from the calculation:
Energy relative to the elements, uncorrected in eV per formula unit: -14.5
E_tot in eV/atom: -5.595

POSCAR file:
```
AcTl2SbO8
1.0
4.8046 0.0000 0.0000
0.0000 7.4573 0.0000
-0.3719 0.0000 4.9973
Ac Tl Sb O
1 2 1 8
Direct
0.0000 0.0000 0.0000 Ac
0.5000 0.2660 0.5000 Tl
0.5000 0.7340 0.5000 Tl
0.0000 0.5000 0.0000 Sb
0.1236 0.2945 0.2406 O
0.1236 0.7055 0.2406 O
0.3574 0.5000 0.8050 O
0.4618 0.0000 0.7537 O
0.5382 0.0000 0.2463 O
0.6426 0.5000 0.1950 O
0.8764 0.2945 0.7594 O
0.8764 0.7055 0.7594 O
```